{
  "formula": "K2CrBO4",
  "functional": "PBE+U",
  "state": "relaxed",
  "lattice_angstrom": [[0.0000, 5.5475, 10.1210], [2.3915, 0.0000, 10.1210], [2.3915, 5.5475, 0.0000]],
  "species": ["K", "K", "K", "K", "Cr", "Cr", "B", "B", "O", "O", "O", "O", "O", "O", "O", "O"],
  "frac_coords": [[0.0510, 0.0510, 0.6990], [0.3010, 0.3010, 0.9490], [0.6990, 0.6990, 0.0510], [0.9490, 0.9490, 0.3010], [0.1250, 0.1250, 0.1250], [0.8750, 0.8750, 0.8750], [0.3750, 0.3750, 0.3750], [0.6250, 0.6250, 0.6250], [0.0644, 0.6042, 0.5314], [0.3000, 0.5314, 0.6042], [0.3958, 0.9356, 0.7000], [0.4686, 0.7000, 0.9356], [0.5314, 0.3000, 0.0644], [0.6042, 0.0644, 0.3000], [0.7000, 0.4686, 0.3958], [0.9356, 0.3958, 0.4686]],
  "sg": "No. 70",
  "density_g_cm3": 2.5,
  "total_energy_ev_per_atom": -6.35
}